#w
The following is a PBE-GGA calculation of a relaxed AcCuRu crystal, from Alexandria via LeMat-Bulk.

Computed properties:
**Magnetization**: 0.00 μB/cell
**ρ**: 9.1 g/cm3

abc: 4.316 4.486 7.993
angles: 106.29 105.64 90.00
Element x y z (fractional)
Cu1 0.043 0.292 0.583
Cu2 0.957 0.708 0.417
Ac1 0.370 0.120 0.240
Ac2 0.630 0.880 0.760
Ru1 0.215 0.465 0.930
Ru2 0.785 0.535 0.070

---

#x
The following is a PBE-GGA calculation of a relaxed AcCuRu crystal, from Alexandria via LeMat-Bulk.

Computed properties:
**Magnetization**: 0.00 μB/cell
**ρ**: 9.5 g/cm3

abc: 4.284 4.284 4.284
angles: 120.00 90.00 90.00
Element x y z (fractional)
Ru1 0.167 0.667 0.333
Cu1 0.167 0.000 0.000
Ac1 0.667 0.333 0.667

---

#y
The following is a PBE-GGA calculation of a relaxed AcCuRu crystal, from Alexandria via LeMat-Bulk.

Computed properties:
**Magnetization**: 0.00 μB/cell
**ρ**: 10.2 g/cm3

abc: 3.573 3.573 5.579
angles: 108.67 108.67 90.00
Element x y z (fractional)
Ru1 0.660 0.660 0.319
Ac1 0.951 0.951 0.902
Cu1 0.239 0.239 0.479

---

Least stable of them? #y.

---

#w
The following is a PBE-GGA calculation of a relaxed AcSmCuRu crystal, from Alexandria via LeMat-Bulk.

Computed properties:
**Magnetization**: 0.00 μB/cell
**ρ**: 9.5 g/cm3

abc: 5.116 5.116 5.116
angles: 60.00 60.00 60.00
Element x y z (fractional)
Ac1 0.000 0.000 0.000
Sm1 0.500 0.500 0.500
Ru1 0.250 0.250 0.250
Cu1 0.750 0.750 0.750

---

#x
The following is a PBE-GGA calculation of a relaxed AcSmCuRu crystal, from Alexandria via LeMat-Bulk.

Computed properties:
**Magnetization**: 0.00 μB/cell
**ρ**: 9.1 g/cm3

abc: 4.113 4.323 5.921
angles: 90.00 110.33 90.00
Element x y z (fractional)
Sm1 0.867 0.500 0.733
Ac1 0.146 0.000 0.293
Cu1 0.565 0.500 0.130
Ru1 0.422 0.000 0.844

---

Least stable of them? #w.

---

#w
The following is a PBE-GGA calculation of a relaxed AcCuS3 crystal, from Alexandria via LeMat-Bulk.

Computed properties:
**Magnetization**: 0.00 μB/cell
**ρ**: 5.7 g/cm3

abc: 4.135 8.738 12.369
angles: 90.00 90.00 90.00
Element x y z (fractional)
Cu1 0.750 0.522 0.911
Cu2 0.750 0.022 0.589
Cu3 0.250 0.978 0.411
Cu4 0.250 0.478 0.089
S1 0.250 0.641 0.933
S2 0.750 0.882 0.743
S3 0.750 0.635 0.496
S4 0.250 0.365 0.504
S5 0.250 0.618 0.243
S6 0.250 0.118 0.257
S7 0.750 0.859 0.433
S8 0.750 0.359 0.067
S9 0.250 0.141 0.567
S10 0.250 0.865 0.996
S11 0.750 0.382 0.757
S12 0.750 0.135 0.004
Ac1 0.750 0.878 0.182
Ac2 0.750 0.378 0.318
Ac3 0.250 0.622 0.682
Ac4 0.250 0.122 0.818

---

#x
The following is a PBE-GGA calculation of a relaxed AcCuS3 crystal, from Alexandria via LeMat-Bulk.

Computed properties:
**Magnetization**: 0.00 μB/cell
**ρ**: 5.5 g/cm3

abc: 8.020 8.020 8.302
angles: 108.51 108.51 97.93
Element x y z (fractional)
S1 0.372 0.284 0.470
S2 0.239 0.913 0.602
S3 0.284 0.372 0.970
S4 0.628 0.716 0.530
S5 0.087 0.761 0.898
S6 0.913 0.239 0.102
S7 0.088 0.641 0.399
S8 0.912 0.359 0.601
S9 0.359 0.912 0.101
S10 0.761 0.087 0.398
S11 0.716 0.628 0.030
S12 0.641 0.088 0.899
Ac1 0.946 0.054 0.750
Ac2 0.620 0.380 0.250
Ac3 0.380 0.620 0.750
Ac4 0.054 0.946 0.250
Cu1 0.802 0.482 0.811
Cu2 0.482 0.802 0.311
Cu3 0.518 0.198 0.689
Cu4 0.198 0.518 0.189

---

Least stable of them? #x.

---

#w
The following is a PBE-GGA calculation of a relaxed AcScCu2 crystal, from Alexandria via LeMat-Bulk.

Computed properties:
**Magnetization**: 0.00 μB/cell
**ρ**: 7.0 g/cm3

abc: 4.619 4.619 5.797
angles: 66.52 66.52 60.00
Element x y z (fractional)
Sc1 0.500 0.500 0.500
Ac1 0.000 0.000 0.000
Cu1 0.802 0.802 0.593
Cu2 0.198 0.198 0.407

---

#x
The following is a PBE-GGA calculation of a relaxed AcScCu2 crystal, from Alexandria via LeMat-Bulk.

Computed properties:
**Magnetization**: 0.00 μB/cell
**ρ**: 7.3 g/cm3

abc: 5.049 5.049 5.049
angles: 60.00 60.00 60.00
Element x y z (fractional)
Cu1 0.750 0.750 0.750
Cu2 0.250 0.250 0.250
Sc1 0.500 0.500 0.500
Ac1 0.000 0.000 0.000

---

Least stable of them? #x.

---

#w
The following is a PBE-GGA calculation of a relaxed AcScCu2 crystal, from Alexandria via LeMat-Bulk.

Computed properties:
**Magnetization**: 0.00 μB/cell
**ρ**: 7.4 g/cm3

abc: 3.519 5.029 5.029
angles: 90.00 90.00 90.00
Element x y z (fractional)
Cu1 0.000 0.000 0.500
Cu2 0.000 0.500 0.000
Ac1 0.500 0.500 0.500
Sc1 0.500 0.000 0.000

---

#x
The following is a PBE-GGA calculation of a relaxed AcScCu2 crystal, from Alexandria via LeMat-Bulk.

Computed properties:
**Magnetization**: 0.00 μB/cell
**ρ**: 7.6 g/cm3

abc: 3.499 3.499 7.139
angles: 90.00 90.00 90.00
Element x y z (fractional)
Cu1 0.000 0.000 0.190
Cu2 0.000 0.000 0.810
Ac1 0.500 0.500 0.500
Sc1 0.500 0.500 0.000

---

Least stable of them? #w.

---

#w
The following is a PBE-GGA calculation of a relaxed Ac2CuSe crystal, from Alexandria via LeMat-Bulk.

Computed properties:
**Magnetization**: 0.00 μB/cell
**ρ**: 7.8 g/cm3

abc: 4.250 4.250 8.501
angles: 75.53 75.53 60.00
Element x y z (fractional)
Ac1 0.250 0.250 0.251
Ac2 0.084 0.084 0.749
Se1 0.668 0.668 0.996
Cu1 0.499 0.499 0.503

---

#x
The following is a PBE-GGA calculation of a relaxed Ac2CuSe crystal, from Alexandria via LeMat-Bulk.

Computed properties:
**Magnetization**: 0.00 μB/cell
**ρ**: 8.8 g/cm3

abc: 3.783 5.446 5.446
angles: 90.00 90.00 90.00
Element x y z (fractional)
Se1 0.500 0.000 0.000
Cu1 0.500 0.500 0.500
Ac1 0.000 0.500 0.000
Ac2 0.000 0.000 0.500

---

Least stable of them? #x.